Material: CaV2AuO
Method: DFT, GGA+U
State: optimized geometry

a = 5.371 Å, b = 5.371 Å, c = 4.181 Å
α = 90.00°, β = 90.00°, γ = 90.00°
Space group P4/mmm (No. 123)
Asymmetric unit:
Ca  0.000  0.000  0.000 [1 per cell]
V  0.000  0.500  0.500 [2 per cell]
Au  0.500  0.500  0.500 [1 per cell]
O  0.500  0.500  0.000 [1 per cell]

Summary:
Total DFT energy (no corrections) (eV per atom): -4.114